(1)
# ScCoRe2

A PBEsol-optimized structure of ScCoRe2 (SCAN, the Alexandria database).

The calculation puts the formation energy at -177 meV/atom. For the calculated density, the calculation gives 13.3 g/cm3. Its crystal system is tetragonal. For the polymorph energy (0 for the lowest one), the calculation gives 0 meV per atom.

The structure belongs to space group P4mm (No. 99); the cell edges are 3.0580, 3.0580 and 6.3363 Å and the angles 90.00°, 90.00° and 90.00°. The distinct sites, in fractional coordinates, are Sc at (0.0000, 0.0000, 0.0000), Co at (0.5000, 0.5000, 0.2547), Re at (0.0000, 0.0000, 0.4843) and Re at (0.5000, 0.5000, 0.7116).

---

(2)
# LaMo2Se

A PBEsol-optimized structure of LaMo2Se (SCAN, the Alexandria database).

For the total DFT energy (no corrections), the calculation gives -262.7 eV/cell. For the calculated density, the calculation gives 9.1 g/cm3. Its crystal system is tetragonal.

The structure belongs to space group I-4m2 (No. 119); the cell edges are 4.5566, 4.5566 and 7.2390 Å and the angles 90.00°, 90.00° and 90.00°. The distinct sites, in fractional coordinates, are La at (0.0000, 0.0000, 0.0000), Mo at (0.0000, 0.0000, 0.5000), Mo at (0.0000, 0.5000, 0.2500) and Se at (0.0000, 0.5000, 0.7500).

---

(3)
# KAgSe2N

A PBEsol-optimized structure of KAgSe2N (SCAN, the Alexandria database).

For the total DFT energy (no corrections), the calculation gives -81.9 eV/cell. For the calculated density, the calculation gives 3.4 g/cm3. Its crystal system is tetragonal.

The structure belongs to space group P4/mmm (No. 123); the cell edges are 5.7165, 5.7165 and 4.7991 Å and the angles 90.00°, 90.00° and 90.00°. The distinct sites, in fractional coordinates, are K at (0.0000, 0.0000, 0.0000), Ag at (0.5000, 0.5000, 0.5000), Se at (0.0000, 0.5000, 0.0000) and N at (0.0000, 0.0000, 0.5000).

---

(4)
# PPbSe2

A PBEsol-optimized structure of PPbSe2 (SCAN, the Alexandria database).

For the calculated density, the calculation gives 7.1 g/cm3. Its crystal system is tetragonal. For the polymorph energy (0 for the lowest one), the calculation gives 131 meV per atom.

The structure belongs to space group I4/mmm (No. 139); the cell edges are 5.7116, 5.7116 and 5.6537 Å and the angles 90.00°, 90.00° and 90.00°. The distinct sites, in fractional coordinates, are P at (0.0000, 0.0000, 0.0000), Pb at (0.0000, 0.0000, 0.5000) and Se at (0.0000, 0.5000, 0.0000).

---

(5)
# CaBe2Ir

A PBEsol-optimized structure of CaBe2Ir (SCAN, the Alexandria database).

The calculation puts the formation energy at 262 meV/atom. For the calculated density, the calculation gives 7.7 g/cm3. Its crystal system is orthorhombic. For the polymorph energy (0 for the lowest one), the calculation gives 751 meV per atom.

The structure belongs to space group Cmmm (No. 65); the cell edges are 5.4507, 6.7989 and 2.9003 Å and the angles 90.00°, 90.00° and 90.00°. The distinct sites, in fractional coordinates, are Ca at (0.0000, 0.0000, 0.0000), Be at (0.2500, 0.2500, 0.5000) and Ir at (0.0000, 0.5000, 0.0000).

---

(6)
# SrTa2SiRu

A PBEsol-optimized structure of SrTa2SiRu (SCAN, the Alexandria database).

For the total DFT energy (no corrections), the calculation gives -194.7 eV/cell. For the calculated density, the calculation gives 7.8 g/cm3. Its crystal system is tetragonal.

The structure belongs to space group P4/mmm (No. 123); the cell edges are 4.7168, 4.7168 and 5.5044 Å and the angles 90.00°, 90.00° and 90.00°. The distinct sites, in fractional coordinates, are Sr at (0.0000, 0.0000, 0.0000), Ta at (0.0000, 0.5000, 0.5000), Si at (0.5000, 0.5000, 0.0000) and Ru at (0.0000, 0.0000, 0.5000).